(1)
First-principles (GGA-PBE) data for Na5HF4 after structural relaxation, as listed in the Alexandria database.

The structure in CIF format:
```
data_Na5HF4
_cell_length_a 13.741
_cell_length_b 13.741
_cell_length_c 13.741
_cell_angle_alpha 13.93
_cell_angle_beta 13.93
_cell_angle_gamma 13.93
_space_group_name_H-M_alt 'P 1'
_space_group_IT_number 1
loop_
_space_group_symop_operation_xyz
'x,y,z'
loop_
_atom_site_label
_atom_site_type_symbol
_atom_site_fract_x
_atom_site_fract_y
_atom_site_fract_z
Na1 Na 0.000 0.000 0.000
Na2 Na 0.201 0.201 0.201
Na3 Na 0.400 0.400 0.400
Na4 Na 0.600 0.600 0.600
Na5 Na 0.799 0.799 0.799
H1 H 0.500 0.500 0.500
F1 F 0.099 0.099 0.099
F2 F 0.300 0.300 0.300
F3 F 0.700 0.700 0.700
F4 F 0.901 0.901 0.901
```

(2)
# MgSc2Os GGA-PBE relaxed
# ΔE_f: 0.18 eV per atom
data_MgSc2Os
_cell_length_a 6.225
_cell_length_b 6.225
_cell_length_c 6.225
_cell_angle_alpha 102.51
_cell_angle_beta 102.51
_cell_angle_gamma 124.53
_space_group_name_H-M_alt 'P 1'
_space_group_IT_number 1
loop_
_space_group_symop_operation_xyz
'x,y,z'
loop_
_atom_site_label
_atom_site_type_symbol
_atom_site_fract_x
_atom_site_fract_y
_atom_site_fract_z
Mg1 Mg 0.000 0.000 0.000
Mg2 Mg 0.750 0.250 0.500
Sc1 Sc 0.186 0.625 0.061
Sc2 Sc 0.375 0.436 0.561
Sc3 Sc 0.564 0.125 0.939
Sc4 Sc 0.875 0.814 0.439
Os1 Os 0.250 0.750 0.500
Os2 Os 0.500 0.500 0.000

(3)
# LiYb4Ti2O10 GGA-PBE relaxed
# ΔE_f (raw): -2.840 eV/atom
# distance to the lowest polymorph of the same formula: 0 meV per atom
data_LiYb4Ti2O10
_cell_length_a 5.364
_cell_length_b 6.397
_cell_length_c 7.264
_cell_angle_alpha 93.10
_cell_angle_beta 98.43
_cell_angle_gamma 110.37
_space_group_name_H-M_alt 'P 1'
_space_group_IT_number 1
loop_
_space_group_symop_operation_xyz
'x,y,z'
loop_
_atom_site_label
_atom_site_type_symbol
_atom_site_fract_x
_atom_site_fract_y
_atom_site_fract_z
Li1 Li 0.000 0.000 0.000
Yb1 Yb 0.218 0.420 0.287
Yb2 Yb 0.528 0.725 0.701
Yb3 Yb 0.531 0.952 0.240
Yb4 Yb 0.860 0.261 0.674
Ti1 Ti 0.031 0.847 0.490
Ti2 Ti 0.727 0.487 0.038
O1 O 0.078 0.714 0.203
O2 O 0.101 0.567 0.558
O3 O 0.432 0.002 0.536
O4 O 0.479 0.273 0.148
O5 O 0.598 0.425 0.782
O6 O 0.625 0.759 0.014
O7 O 0.638 0.676 0.412
O8 O 0.944 0.305 0.001
O9 O 0.966 0.104 0.386
O10 O 0.972 0.941 0.724

(4)
# GaSn3Pb GGA-PBE relaxed
# ΔE_f: 0.09 eV per atom
# distance to the lowest polymorph of the same formula: 0 meV per atom
data_GaSn3Pb
_cell_length_a 7.409
_cell_length_b 7.409
_cell_length_c 7.409
_cell_angle_alpha 90.00
_cell_angle_beta 90.00
_cell_angle_gamma 90.00
_space_group_name_H-M_alt 'P 1'
_space_group_IT_number 1
loop_
_space_group_symop_operation_xyz
'x,y,z'
loop_
_atom_site_label
_atom_site_type_symbol
_atom_site_fract_x
_atom_site_fract_y
_atom_site_fract_z
Ga1 Ga 0.000 0.000 0.500
Ga2 Ga 0.000 0.500 0.000
Ga3 Ga 0.500 0.000 0.000
Sn1 Sn 0.226 0.226 0.226
Sn2 Sn 0.226 0.226 0.774
Sn3 Sn 0.226 0.774 0.226
Sn4 Sn 0.226 0.774 0.774
Sn5 Sn 0.500 0.500 0.500
Sn6 Sn 0.774 0.226 0.226
Sn7 Sn 0.774 0.226 0.774
Sn8 Sn 0.774 0.774 0.226
Sn9 Sn 0.774 0.774 0.774
Pb1 Pb 0.000 0.500 0.500
Pb2 Pb 0.500 0.000 0.500
Pb3 Pb 0.500 0.500 0.000

Computed values of E (unit: eV per atom) for the preceding records, in sequence: -3.97; -6.19; -7.16; -3.66.